Si2TcBr | PBE | optimized geometry

a b c (Å): 4.0108 3.4896 5.9593
angles (deg): 90.00 93.15 90.00
Last column: nearest neighbours and their distance in Å.
Fractional positions:
Si1 0.0000 0.0000 0.0000  2 Tc 2.31-2.47, 2 Si 2.38
Si2 0.4009 0.5000 0.0438  2 Si 2.38, 2 Tc 2.39, 1 Br 2.54
Tc1 0.5062 0.0000 0.7830  4 Si 2.31-2.47
Br1 0.6462 0.5000 0.4459  1 Si 2.54, 2 Tc 2.74

## Properties
* total energy: -5.4944 eV/atom
* raw formation energy: 0.227 eV/atom
* energy above the lowest structure with this stoichiometry: 216.3 meV per atom


SiTc2Br2 | PBE | optimized geometry

a b c (Å): 6.3292 6.3292 5.0215
angles (deg): 90.00 90.00 90.00
Last column: nearest neighbours and their distance in Å.
Fractional positions:
Si1 0.0000 0.0000 0.0000  4 Tc 2.49
Si2 0.5000 0.5000 0.0000  4 Tc 2.49
Tc1 0.1284 0.3716 0.0000  1 Tc 2.30, 2 Si 2.49, 2 Br 2.56
Tc2 0.3716 0.8716 0.0000  1 Tc 2.30, 2 Si 2.49, 2 Br 2.56
Tc3 0.6284 0.1284 0.0000  1 Tc 2.30, 2 Si 2.49, 2 Br 2.56
Tc4 0.8716 0.6284 0.0000  1 Tc 2.30, 2 Si 2.49, 2 Br 2.56
Br1 0.1867 0.3133 0.5000  2 Tc 2.56
Br2 0.3133 0.8133 0.5000  2 Tc 2.56
Br3 0.6867 0.1867 0.5000  2 Tc 2.56
Br4 0.8133 0.6867 0.5000  2 Tc 2.56

## Properties
* total energy: -5.5703 eV/atom
* raw formation energy: 0.330 eV/atom
* energy above the lowest structure with this stoichiometry: 0.0 meV per atom


Si2TcBr | PBE | optimized geometry

a b c (Å): 2.9714 4.5667 4.7254
angles (deg): 90.00 90.00 90.00
Last column: nearest neighbours and their distance in Å.
Fractional positions:
Si1 0.0000 0.0000 0.0000  6 Si 2.72-2.97, 4 Br 2.79
Si2 0.5000 0.5000 0.0000  6 Si 2.72-2.97, 4 Tc 2.79
Tc1 0.0000 0.5000 0.5000  4 Br 2.72, 4 Si 2.79, 2 Tc 2.97
Br1 0.5000 0.0000 0.5000  4 Tc 2.72, 4 Si 2.79, 2 Br 2.97

## Properties
* total energy: -4.9277 eV/atom
* raw formation energy: 0.793 eV/atom
* energy above the lowest structure with this stoichiometry: 783.0 meV per atom


SiTc2Br | PBE | optimized geometry

a b c (Å): 2.9550 2.9550 24.3234
angles (deg): 90.00 90.00 120.00
Last column: nearest neighbours and their distance in Å.
Fractional positions:
Si1 0.0000 0.0000 0.0000  6 Tc 2.55
Si2 0.3333 0.6667 0.6667  6 Tc 2.55
Si3 0.6667 0.3333 0.3333  6 Tc 2.55
Tc1 0.0000 0.0000 0.2557  3 Si 2.55, 3 Br 2.76
Tc2 0.0000 0.0000 0.7443  3 Si 2.55, 3 Br 2.76
Tc3 0.3333 0.6667 0.4110  3 Si 2.55, 3 Br 2.76
Tc4 0.3333 0.6667 0.9223  3 Si 2.55, 3 Br 2.76
Tc5 0.6667 0.3333 0.0777  3 Si 2.55, 3 Br 2.76
Tc6 0.6667 0.3333 0.5890  3 Si 2.55, 3 Br 2.76
Br1 0.0000 0.0000 0.5000  6 Tc 2.76, 6 Br 2.95
Br2 0.3333 0.6667 0.1667  6 Tc 2.76, 6 Br 2.95
Br3 0.6667 0.3333 0.8333  6 Tc 2.76, 6 Br 2.95

## Properties
* total energy: -6.6292 eV/atom
* raw formation energy: 0.328 eV/atom
* energy above the lowest structure with this stoichiometry: 195.3 meV per atom


> The lowest energy above the lowest structure with this stoichiometry belongs to which entry?

SiTc2Br2


Copy entry 3 word for word.
Si2TcBr | PBE | optimized geometry

a b c (Å): 2.9714 4.5667 4.7254
angles (deg): 90.00 90.00 90.00
Last column: nearest neighbours and their distance in Å.
Fractional positions:
Si1 0.0000 0.0000 0.0000  6 Si 2.72-2.97, 4 Br 2.79
Si2 0.5000 0.5000 0.0000  6 Si 2.72-2.97, 4 Tc 2.79
Tc1 0.0000 0.5000 0.5000  4 Br 2.72, 4 Si 2.79, 2 Tc 2.97
Br1 0.5000 0.0000 0.5000  4 Tc 2.72, 4 Si 2.79, 2 Br 2.97

## Properties
* total energy: -4.9277 eV/atom
* raw formation energy: 0.793 eV/atom
* energy above the lowest structure with this stoichiometry: 783.0 meV per atom